AcTlSb2 PBE optimized geometry; SG = No. 225; E_form (uncorrected) = -0.4109 eV/atom; energy relative to the lowest polymorph listed for this composition = 0.158 eV/atom; crystal system = cubic
1.0
-1.900 4.763 2.465
-0.445 0.289 5.665
3.571 3.286 2.970
Sb Ac Tl
2 1 1
direct
0.250 0.250 0.250
0.750 0.750 0.750
0.000 0.000 0.000
0.500 0.500 0.500

***

SrTaFe2 PBE optimized geometry; SG = No. 225; calculated formation energy = 3.4 eV per formula unit; energy relative to the lowest polymorph listed for this composition = 0.516 eV/atom; crystal system = cubic
1.0
-1.124 -3.838 2.202
0.390 -0.222 4.543
-3.744 -0.122 2.609
Ta Fe Sr
1 2 1
direct
0.500 0.500 0.500
0.750 0.750 0.750
0.250 0.250 0.250
0.000 0.000 0.000

***

Pm4Sb2Ir PBE optimized geometry; SG = No. 139; E_form (uncorrected) = -0.6528 eV/atom; energy relative to the lowest polymorph listed for this composition = 0.075 eV/atom; crystal system = tetragonal
1.0
5.298 0.000 0.000
0.000 5.298 0.000
-2.649 -2.649 8.280
Sb Ir Pm
2 1 4
direct
0.636 0.636 0.272
0.364 0.364 0.728
0.000 0.000 0.000
0.500 0.000 0.000
0.000 0.500 0.000
0.174 0.174 0.348
0.826 0.826 0.652

***

Be2CdW PBE optimized geometry; SG = No. 44; calculated formation energy = 1.8 eV per formula unit; crystal system = orthorhombic
1.0
5.190 0.001 0.000
2.677 4.447 0.000
-3.395 -3.176 2.308
Be W Cd
2 1 1
direct
0.767 0.267 0.500
0.978 0.978 0.000
0.236 0.736 0.500
0.520 0.520 0.000

***

Nd2MgPb4 PBE optimized geometry; SG = No. 115; calculated formation energy = -1.8 eV per formula unit; crystal system = tetragonal
1.0
-3.455 0.075 3.140
2.053 -3.479 2.343
5.006 6.559 5.352
Nd Pb Mg
2 4 1
direct
0.000 0.500 0.235
0.500 0.000 0.765
0.000 0.500 0.812
0.500 0.500 0.500
0.000 0.000 0.500
0.500 0.000 0.188
0.500 0.500 0.000

***

CsIN3 PBE optimized geometry; SG = No. 221; E_form (uncorrected) = 1.9683 eV/atom; crystal system = cubic
1.0
-1.041 4.235 0.314
0.127 -0.292 4.361
4.245 1.048 -0.053
N Cs I
3 1 1
direct
0.000 0.000 0.500
0.000 0.500 0.000
0.500 0.000 0.000
0.500 0.500 0.500
0.000 0.000 0.000